Compound: SrPaPO
Source: OQMD via LeMat-Bulk
Functional: PBE
Structure: relaxed

a = 3.856 Å, b = 3.856 Å, c = 5.493 Å
α = 90.00°, β = 90.00°, γ = 90.00°
Space group P4/mmm (No. 123)
Asymmetric unit:
Sr 0.000 0.000 0.000 x1
Pa 0.500 0.500 0.500 x1
P 0.000 0.000 0.500 x1
O 0.500 0.500 0.000 x1

Results
Crystal system: tetragonal
E above lowest polymorph (kJ/mol of atoms): 11.7
Theoretical density (g/cm3): 7.4
E_tot (eV/f.u.): -26.201